## AgWF2 (PBE+U)

Data for a geometry-optimized AgWF2 structure.

Unit cell a=7.758 b=7.758 c=7.758 alpha=145.67 beta=145.67 gamma=49.34
Each line ends with the local moment (μB).
Element x y z (fractional)
W (0.750, 0.250, 0.500)  2.62
W (0.000, 0.000, 0.000)  2.62
F (0.783, 0.125, 0.158)  0.00
F (0.375, 0.217, 0.342)  0.00
F (0.967, 0.625, 0.842)  0.00
F (0.875, 0.033, 0.658)  0.00
Ag (0.250, 0.750, 0.500)  0.01
Ag (0.500, 0.500, 0.000)  0.01

Computed properties:
uncorrected energy	-4.05	eV/atom
distance to the lowest polymorph of the same formula	0	meV per atom
magnetization	2.75	μB per formula unit
N(E_F)	1.831	states/eV/cell